(1)
First-principles (PBE-GGA) data for crystalline Pr4Ho3Tm4 at its relaxed geometry, as listed in Alexandria.

Results
* energy above the lowest structure with this stoichiometry: 50 meV per atom
* V: 32.3 Å³/atom
* DOS at the Fermi energy: 18.30 states/eV/f.u.
* energy of formation: 0.07 eV/atom
* spin magnetization: 0.00 μB per formula unit

Cell lengths 3.5190, 5.6658, 18.1523 Å; angles 81.02, 84.44, 89.99 degrees
Atoms (fractional coordinates):
Tm1 0.5455 0.5452 0.9099
Tm2 0.3192 0.8193 0.3613
Ho1 0.1359 0.6357 0.7291
Tm3 0.4545 0.4548 0.0901
Ho2 0.8642 0.3643 0.2709
Ho3 0.0000 0.0000 0.0000
Pr1 0.7313 0.7315 0.5373
Tm4 0.6808 0.1808 0.6387
Pr2 0.2687 0.2685 0.4627
Pr3 0.4091 0.9092 0.1813
Pr4 0.5909 0.0908 0.8187

***

(2)
First-principles (PBE-GGA) data for crystalline Pr5Ho4Tm at its relaxed geometry, as listed in Alexandria.

Results
* energy above the lowest structure with this stoichiometry: 0 meV per atom
* V: 33.4 Å³/atom
* DOS at the Fermi energy: 13.89 states/eV/f.u.
* energy of formation: 0.02 eV/atom
* spin magnetization: 0.00 μB per formula unit

Cell lengths 3.6373, 3.6373, 25.2513 Å; angles 90.00, 90.00, 90.00 degrees
Atoms (fractional coordinates):
Pr1 0.5000 0.5000 0.0991
Ho1 0.0000 0.0000 0.6002
Pr2 0.5000 0.5000 0.9009
Ho2 0.0000 0.0000 0.1992
Pr3 0.5000 0.5000 0.2995
Ho3 0.0000 0.0000 0.8008
Pr4 0.5000 0.5000 0.5000
Tm1 0.0000 0.0000 0.0000
Ho4 0.0000 0.0000 0.3998
Pr5 0.5000 0.5000 0.7005

***

(3)
First-principles (PBE-GGA) data for crystalline Pr2Ho5Tm at its relaxed geometry, as listed in Alexandria.

Results
* energy above the lowest structure with this stoichiometry: 0 meV per atom
* V: 32.1 Å³/atom
* DOS at the Fermi energy: 11.37 states/eV/f.u.
* energy of formation: 0.02 eV/atom
* spin magnetization: 0.00 μB per formula unit

Cell lengths 5.0390, 7.1344, 14.2697 Å; angles 90.00, 90.00, 90.00 degrees
Atoms (fractional coordinates):
Ho1 0.5000 0.7489 0.6249
Pr1 0.5000 0.2510 0.1249
Tm1 0.0000 0.0000 0.5000
Ho2 0.5000 0.2511 0.3751
Tm2 0.0000 0.5000 0.0000
Ho3 0.0000 0.4989 0.7502
Ho4 0.0000 0.9989 0.7498
Ho5 0.0000 0.5011 0.2498
Ho6 0.5000 0.2489 0.8751
Ho7 0.0000 0.0011 0.2502
Ho8 0.5000 0.7511 0.1249
Ho9 0.0000 0.5000 0.5000
Pr2 0.5000 0.7490 0.8751
Ho10 0.0000 0.0000 0.0000
Pr3 0.5000 0.7510 0.3751
Pr4 0.5000 0.2490 0.6249

***

(4)
First-principles (PBE-GGA) data for crystalline Pr2Ho8Tm at its relaxed geometry, as listed in Alexandria.

Results
* energy above the lowest structure with this stoichiometry: 0 meV per atom
* V: 32.5 Å³/atom
* DOS at the Fermi energy: 14.20 states/eV/f.u.
* energy of formation: 0.16 eV/atom
* spin magnetization: 0.00 μB per formula unit

Cell lengths 5.8823, 9.0198, 9.1846 Å; angles 60.59, 74.61, 57.27 degrees
Atoms (fractional coordinates):
Pr1 0.0000 0.3065 0.3870
Ho1 0.8283 0.0984 0.2294
Ho2 0.5000 0.7928 0.4144
Pr2 0.0000 0.6935 0.6130
Ho3 0.1717 0.9016 0.7706
Ho4 0.5000 0.2072 0.5856
Ho5 0.7023 0.5741 0.0000
Tm1 0.5000 0.0000 0.0000
Ho6 0.1717 0.6722 0.2294
Ho7 0.8283 0.3278 0.7706
Ho8 0.2977 0.4259 0.0000

***

(5)
First-principles (PBE-GGA) data for crystalline Pr12Ho5Tm2 at its relaxed geometry, as listed in Alexandria.

Results
* energy above the lowest structure with this stoichiometry: 28 meV per atom
* V: 34.8 Å³/atom
* DOS at the Fermi energy: 26.32 states/eV/f.u.
* energy of formation: 0.13 eV/atom
* spin magnetization: 0.00 μB per formula unit

Cell lengths 9.2809, 9.2809, 8.1618 Å; angles 93.72, 93.72, 70.78 degrees
Atoms (fractional coordinates):
Pr1 0.0401 0.5952 0.2078
Tm1 0.7258 0.2742 0.0000
Pr2 0.6216 0.1645 0.6160
Pr3 0.1645 0.6216 0.6160
Pr4 0.4048 0.9599 0.7922
Ho1 0.0000 0.0000 0.5000
Ho2 0.3437 0.3437 0.9001
Pr5 0.4434 0.4434 0.2861
Pr6 0.5566 0.5566 0.7139
Ho3 0.6563 0.6563 0.0999
Ho4 0.2406 0.2406 0.4887
Pr7 0.1275 0.1275 0.1030
Pr8 0.8725 0.8725 0.8970
Pr9 0.8355 0.3784 0.3840
Pr10 0.3784 0.8355 0.3840
Ho5 0.7594 0.7594 0.5113
Pr11 0.5952 0.0401 0.2078
Pr12 0.9599 0.4048 0.7922
Tm2 0.2742 0.7258 0.0000

***

(6)
First-principles (PBE-GGA) data for crystalline PrHo5Tm at its relaxed geometry, as listed in Alexandria.

Results
* energy above the lowest structure with this stoichiometry: 0 meV per atom
* V: 32.2 Å³/atom
* DOS at the Fermi energy: 11.17 states/eV/f.u.
* energy of formation: 0.10 eV/atom
* spin magnetization: 0.00 μB per formula unit

Cell lengths 6.4984, 6.4984, 11.7414 Å; angles 105.93, 105.93, 95.58 degrees
Atoms (fractional coordinates):
Ho1 0.0312 0.3857 0.3326
Ho2 0.2380 0.5317 0.9648
Pr1 0.0000 0.0000 0.5000
Pr2 0.0000 0.0000 0.0000
Ho3 0.6143 0.9688 0.1674
Ho4 0.9688 0.6143 0.6674
Ho5 0.8328 0.1672 0.7500
Ho6 0.1672 0.8328 0.2500
Ho7 0.7620 0.4683 0.0352
Ho8 0.3857 0.0312 0.8326
Ho9 0.4683 0.7620 0.5352
Tm1 0.4896 0.5104 0.7500
Tm2 0.5104 0.4896 0.2500
Ho10 0.5317 0.2380 0.4648

***

(7)
First-principles (PBE-GGA) data for crystalline PrHo2Tm7 at its relaxed geometry, as listed in Alexandria.

Results
* energy above the lowest structure with this stoichiometry: 620 meV per atom
* V: 38.5 Å³/atom
* DOS at the Fermi energy: 14.86 states/eV/f.u.
* energy of formation: 0.72 eV/atom
* spin magnetization: 0.00 μB per formula unit

Cell lengths 5.5424, 9.1178, 9.1178 Å; angles 123.30, 90.00, 90.00 degrees
Atoms (fractional coordinates):
Ho1 0.5000 0.2973 0.7027
Pr1 0.0000 0.0000 0.0000
Ho2 0.5000 0.7027 0.2973
Tm1 0.5000 0.0609 0.2916
Tm2 0.5000 0.7084 0.9391
Tm3 0.0000 0.7859 0.2141
Tm4 0.0000 0.2141 0.7859
Tm5 0.5000 0.2916 0.0609
Tm6 0.5000 0.9391 0.7084
Tm7 0.5000 0.5000 0.5000

***

(8)
First-principles (PBE-GGA) data for crystalline Pr6Ho3Tm2 at its relaxed geometry, as listed in Alexandria.

Results
* energy above the lowest structure with this stoichiometry: 0 meV per atom
* V: 34.0 Å³/atom
* DOS at the Fermi energy: 17.62 states/eV/f.u.
* energy of formation: 0.08 eV/atom
* spin magnetization: 0.00 μB per formula unit

Cell lengths 6.9150, 6.1476, 12.0656 Å; angles 104.47, 55.08, 117.35 degrees
Atoms (fractional coordinates):
Pr1 0.0730 0.4892 0.8193
Pr2 0.9270 0.5108 0.1807
Pr3 0.3765 0.8978 0.2732
Ho1 0.8129 0.0251 0.3678
Pr4 0.7259 0.5629 0.5476
Ho2 0.1871 0.9749 0.6322
Tm1 0.5575 0.6873 0.8990
Pr5 0.6235 0.1022 0.7268
Ho3 0.0000 0.0000 0.0000
Tm2 0.4425 0.3127 0.1010
Pr6 0.2741 0.4371 0.4524

***

(9)
First-principles (PBE-GGA) data for crystalline Pr3HoTm at its relaxed geometry, as listed in Alexandria.

Results
* energy above the lowest structure with this stoichiometry: 178 meV per atom
* V: 35.7 Å³/atom
* DOS at the Fermi energy: 6.81 states/eV/f.u.
* energy of formation: 0.29 eV/atom
* spin magnetization: 0.00 μB per formula unit

Cell lengths 6.4487, 8.7071, 8.7071 Å; angles 46.85, 90.00, 90.00 degrees
Atoms (fractional coordinates):
Tm1 0.0000 0.4259 0.5740
Pr1 0.2500 0.3218 0.3218
Ho1 0.2500 0.9207 0.9207
Pr2 0.2082 0.8972 0.3903
Pr3 0.7500 0.6782 0.6782
Tm2 0.5000 0.5740 0.4259
Ho2 0.7500 0.0793 0.0793
Pr4 0.7083 0.1028 0.6097
Pr5 0.7918 0.6097 0.1028
Pr6 0.2917 0.3903 0.8972

***

(10)
First-principles (PBE-GGA) data for crystalline Pr4HoTm2 at its relaxed geometry, as listed in Alexandria.

Results
* energy above the lowest structure with this stoichiometry: 191 meV per atom
* V: 34.4 Å³/atom
* DOS at the Fermi energy: 10.04 states/eV/f.u.
* energy of formation: 0.25 eV/atom
* spin magnetization: 0.00 μB per formula unit

Cell lengths 6.9191, 9.0412, 9.0412 Å; angles 78.81, 67.50, 67.50 degrees
Atoms (fractional coordinates):
Pr1 0.8486 0.6479 0.6549
Tm1 0.2829 0.9671 0.4671
Tm2 0.5000 0.5000 0.5000
Pr2 0.7884 0.2405 0.7405
Pr3 0.2116 0.7595 0.2595
Ho1 0.0000 0.5000 0.0000
Pr4 0.1514 0.3521 0.3451
Ho2 0.5000 0.5000 0.0000
Pr5 0.2306 0.2405 0.7405
Pr6 0.1514 0.8451 0.8521
Tm3 0.7171 0.0329 0.5329
Pr7 0.8486 0.1549 0.1479
Pr8 0.7694 0.7595 0.2595
Tm4 0.5000 0.0000 0.0000

***

(11)
First-principles (PBE-GGA) data for crystalline Pr4HoTm at its relaxed geometry, as listed in Alexandria.

Results
* energy above the lowest structure with this stoichiometry: 0 meV per atom
* V: 34.2 Å³/atom
* DOS at the Fermi energy: 8.68 states/eV/f.u.
* energy of formation: 0.02 eV/atom
* spin magnetization: 0.00 μB per formula unit

Cell lengths 3.6648, 9.6134, 12.0678 Å; angles 148.71, 90.11, 100.96 degrees
Atoms (fractional coordinates):
Pr1 0.6683 0.3371 0.0040
Pr2 0.8334 0.6662 0.4979
Pr3 0.1665 0.3338 0.5021
Ho1 0.0000 0.0000 0.0000
Tm1 0.5000 0.9999 0.5000
Pr4 0.3317 0.6628 0.9960

***

(12)
First-principles (PBE-GGA) data for crystalline Pr2Ho7Tm2 at its relaxed geometry, as listed in Alexandria.

Results
* energy above the lowest structure with this stoichiometry: 25 meV per atom
* V: 32.4 Å³/atom
* DOS at the Fermi energy: 17.30 states/eV/f.u.
* energy of formation: 0.16 eV/atom
* spin magnetization: 0.00 μB per formula unit

Cell lengths 6.0288, 8.5860, 8.5860 Å; angles 83.35, 63.81, 63.81 degrees
Atoms (fractional coordinates):
Ho1 0.3721 0.4137 0.4137
Ho2 0.6279 0.5863 0.5863
Tm1 0.5000 0.2194 0.7806
Ho3 0.1740 0.0606 0.5909
Ho4 0.0000 0.0000 0.0000
Pr1 0.1339 0.2300 0.2300
Ho5 0.1740 0.5909 0.0606
Pr2 0.8661 0.7700 0.7700
Tm2 0.5000 0.7806 0.2194
Ho6 0.8260 0.4091 0.9394
Ho7 0.8260 0.9394 0.4091